TaVP2O | GGA+U | optimized geometry

Unit cell a=4.9173 b=4.9173 c=3.8401 alpha=90.00 beta=90.00 gamma=90.00
Each line ends with the local moment (μB).
Positions (direct):
V (0.5000, 0.5000, 0.5000)  -0.89
Ta (0.0000, 0.0000, 0.0000)  0.03
P (0.5000, 0.0000, 0.0000)  0.11
P (0.0000, 0.5000, 0.0000)  0.11
O (0.0000, 0.0000, 0.5000)  0.02

Properties
- Raw total energy: -7.097 eV per atom
- Fermi-level density of states: 2.85 states/eV/cell
- Space-group type: P4/mmm (123)